(1)
A relaxed YThC2 crystal. Source: Alexandria via LeMat-Bulk, functional PBE.

Properties
E_form, eV per formula unit: -0.5
Energy above the most stable polymorph in this dataset, eV per atom: 0.0000
Size of the total moment, μB/cell: 0.70

```
data_YThC2
_cell_length_a 3.7152
_cell_length_b 3.7152
_cell_length_c 17.9712
_cell_angle_alpha 90.00
_cell_angle_beta 90.00
_cell_angle_gamma 120.00
_space_group_name_H-M_alt 'R -3 m'
_space_group_IT_number 166
_space_group_name_Hall '-R 3 2"'
loop_
_atom_site_label
_atom_site_type_symbol
_atom_site_fract_x
_atom_site_fract_y
_atom_site_fract_z
Y1 Y 0.0000 0.0000 0.0000
Th1 Th 0.0000 0.0000 0.5000
C1 C 0.0000 0.0000 0.2491
```

(2)
A relaxed TaNi2Ag crystal. Source: Alexandria via LeMat-Bulk, functional PBE.

Properties
E_form, eV per formula unit: 0.9
Energy above the most stable polymorph in this dataset, eV per atom: 0.2227
Size of the total moment, μB/cell: 0.00

```
data_TaNi2Ag
_cell_length_a 4.6171
_cell_length_b 2.7505
_cell_length_c 5.0059
_cell_angle_alpha 90.00
_cell_angle_beta 114.33
_cell_angle_gamma 90.00
_space_group_name_H-M_alt 'P 1 2/m 1'
_space_group_IT_number 10
loop_
_space_group_symop_operation_xyz
'x,y,z'
'-x,-y,-z'
'-x,y,-z'
'x,-y,z'
loop_
_atom_site_label
_atom_site_type_symbol
_atom_site_fract_x
_atom_site_fract_y
_atom_site_fract_z
Ta1 Ta 0.0000 0.0000 0.0000
Ni1 Ni 0.5000 0.0000 0.5000
Ni2 Ni 0.5000 0.5000 0.0000
Ag1 Ag 0.0000 0.5000 0.5000
```

(3)
A relaxed OsRu3 crystal. Source: Alexandria via LeMat-Bulk, functional PBE.

Properties
E_form, eV per formula unit: 0.0
Size of the total moment, μB/cell: 0.00

```
data_OsRu3
_cell_length_a 4.3201
_cell_length_b 5.4620
_cell_length_c 4.7361
_cell_angle_alpha 90.00
_cell_angle_beta 90.00
_cell_angle_gamma 90.00
_space_group_name_H-M_alt 'P m m n'
_space_group_IT_number 59
loop_
_space_group_symop_operation_xyz
'x,y,z'
'-x,-y,-z'
'-x+1/2,-y+1/2,z'
'x+1/2,y+1/2,-z'
'x+1/2,-y,-z'
'-x+1/2,y,z'
'-x,y+1/2,-z'
'x,-y+1/2,z'
loop_
_atom_site_label
_atom_site_type_symbol
_atom_site_fract_x
_atom_site_fract_y
_atom_site_fract_z
Os1 Os 0.2500 0.2500 0.1680
Ru1 Ru 0.2500 0.0006 0.6675
Ru2 Ru 0.2500 0.7500 0.1627
```